Entry from Alexandria: crystalline MgNi3P4O14 at its relaxed geometry (PBE+U).

The structure belongs to space group P2_1/c (No. 14); the cell edges are 7.286, 7.403 and 9.614 Å and the angles 90.00°, 113.51° and 90.00°. The asymmetric unit holds Mg at (0.000, 0.000, 0.000), Ni at (0.318, 0.129, 0.478), Ni at (0.500, 0.000, 0.000), P at (0.088, 0.091, 0.698), P at (0.366, 0.702, 0.185), O at (0.120, 0.236, 0.597), O at (0.124, 0.547, 0.821), O at (0.162, 0.598, 0.157), O at (0.221, 0.124, 0.870), O at (0.302, 0.619, 0.599), O at (0.473, 0.712, 0.359) and O at (0.475, 0.582, 0.114).

For the density of states at the Fermi level, the calculation gives 0.0 states/eV per cell. The total magnetic moment comes out at 11.96 Bohr magnetons per cell. For the mass density, the calculation gives 3.83 g cm⁻³. The total DFT energy (no corrections) comes out at -144.11 eV/f.u.